Density functional theory data (PBE with a Hubbard U) for a geometry-optimized LiNi2IO6 structure.

CIF file:
```
data_LiNi2IO6
_cell_length_a 5.1624
_cell_length_b 5.1624
_cell_length_c 14.1099
_cell_angle_alpha 90.00
_cell_angle_beta 90.00
_cell_angle_gamma 120.00
_space_group_name_H-M_alt 'R 3'
_space_group_IT_number 146
_space_group_name_Hall 'R 3'
loop_
_atom_site_label
_atom_site_type_symbol
_atom_site_fract_x
_atom_site_fract_y
_atom_site_fract_z
_atom_site_occupancy
Li1 Li 0.0000 0.0000 0.0000 1
Ni1 Ni 0.0000 0.0000 0.2721 1
Ni2 Ni 0.0000 0.0000 0.7843 1
I1 I 0.0000 0.0000 0.4701 1
O1 O 0.0059 0.7134 0.3843 1
O2 O 0.0081 0.3640 0.2075 1
```

Calculated values
Fermi-level density of states: 0.0 states/eV per cell
DFT total energy: -4.77 eV/atom
Total magnetization: 12.00 μB per cell